1.
A plane-wave DFT calculation with PBE was carried out for Ti2Ge3Mo after structural relaxation.

Output
Final energy in eV per atom: -6.94
Space group: C2/c
ΔH_f (0 K) in eV/atom: -0.194

Geometry as POSCAR:
```
Ti2Ge3Mo
1.0
6.3492 0.1935 0.3333
-1.2174 6.1893 -0.2304
-1.2174 -3.2684 5.2610
Mo Ge Ti
2 6 4
direct
0.7500 0.4075 0.5925
0.2500 0.5925 0.4075
0.9943 0.8266 0.6634
0.0000 0.5000 0.0000
0.4943 0.6634 0.8266
0.5000 0.0000 0.5000
0.0057 0.1734 0.3366
0.5057 0.3366 0.1734
0.2500 0.2455 0.7545
0.2500 0.9169 0.0831
0.7500 0.0831 0.9169
0.7500 0.7545 0.2455
```

2.
A plane-wave DFT calculation with PBE was carried out for Nb12Mo7W after structural relaxation.

Output
Final energy in eV per atom: -10.14
Space group: R-3
ΔH_f (0 K) in eV/atom: 0.336

Geometry as POSCAR:
```
Nb12Mo7W
1.0
6.9037 1.0682 1.6034
-0.8936 6.9285 1.6034
-0.8936 -1.1889 7.0115
W Mo Nb
1 7 12
direct
0.0000 0.0000 0.0000
0.9549 0.8695 0.6340
0.1305 0.3660 0.0451
0.6340 0.9549 0.8695
0.3660 0.0451 0.1305
0.8695 0.6340 0.9549
0.0451 0.1305 0.3660
0.5000 0.5000 0.5000
0.1433 0.5079 0.6246
0.7452 0.8687 0.2803
0.2548 0.1313 0.7197
0.8567 0.4921 0.3754
0.5079 0.6246 0.1433
0.7197 0.2548 0.1313
0.6246 0.1433 0.5079
0.8687 0.2803 0.7452
0.3754 0.8567 0.4921
0.2803 0.7452 0.8687
0.4921 0.3754 0.8567
0.1313 0.7197 0.2548
```

3.
A plane-wave DFT calculation with PBE was carried out for LaPIr2 after structural relaxation.

Output
Final energy in eV per atom: -7.08
Space group: Pmmm
ΔH_f (0 K) in eV/atom: -0.064

Geometry as POSCAR:
```
LaPIr2
1.0
3.0186 0.0000 0.0000
0.0000 4.9372 0.0000
0.0000 0.0000 4.8325
P Ir La
1 2 1
direct
0.0000 0.5000 0.5000
0.0000 0.0000 0.0000
0.5000 0.5000 0.0000
0.5000 0.0000 0.5000
```

4.
A plane-wave DFT calculation with PBE was carried out for UCuPbAu after structural relaxation.

Output
Final energy in eV per atom: -5.49
Space group: F-43m
ΔH_f (0 K) in eV/atom: 0.098

Geometry as POSCAR:
```
UCuPbAu
1.0
-1.8223 -2.3295 -3.9892
-3.2777 -3.6883 0.5601
-4.7411 0.6703 -1.3166
Cu Au Pb U
1 1 1 1
direct
0.0000 0.0000 0.0000
0.5000 0.5000 0.5000
0.2500 0.2500 0.2500
0.7500 0.7500 0.7500
```

5.
A plane-wave DFT calculation with PBE was carried out for Be3Sb after structural relaxation.

Output
ΔE to the lowest computed polymorph in eV/atom: 0.328
Final energy in eV per atom: -3.11
Formation energy from raw total energies in kJ/mol of formula units: 277
Space group: Pm-3n

Geometry as POSCAR:
```
Be3Sb
1.0
-1.2052 -0.5134 4.5703
3.7081 -2.9033 0.6517
2.7205 3.7298 1.1364
Be Sb
6 2
direct
0.0000 0.7500 0.5000
0.5000 0.0000 0.7500
0.0000 0.2500 0.5000
0.2500 0.5000 0.0000
0.5000 0.0000 0.2500
0.7500 0.5000 0.0000
0.0000 0.0000 0.0000
0.5000 0.5000 0.5000
```

6.
A plane-wave DFT calculation with PBE was carried out for Pm3ZnSeCl after structural relaxation.

Output
Final energy in eV per atom: -4.62
Formation energy from raw total energies in kJ/mol of formula units: -663
Space group: P2_1/m

Geometry as POSCAR:
```
Pm3ZnSeCl
1.0
3.9676 0.0000 0.0000
0.0000 7.5596 -0.3283
0.0000 -2.2049 10.8504
Se Cl Pm Zn
2 2 6 2
direct
0.2500 0.7653 0.0570
0.7500 0.2347 0.9430
0.7500 0.8840 0.3683
0.2500 0.1160 0.6317
0.7500 0.0618 0.1578
0.2500 0.9382 0.8422
0.7500 0.5494 0.1669
0.2500 0.7125 0.4981
0.7500 0.2875 0.5019
0.2500 0.4506 0.8331
0.2500 0.3554 0.3056
0.7500 0.6446 0.6944
```

7.
A plane-wave DFT calculation with PBE was carried out for Cu3SiAu3 after structural relaxation.

Output
Final energy in eV per atom: -3.91
Formation energy from raw total energies in kJ/mol of formula units: 19
Space group: Pnma

Geometry as POSCAR:
```
Cu3SiAu3
1.0
2.8783 0.0000 0.0000
0.0000 11.4388 0.0000
0.0000 0.0000 13.1898
Cu Au Si
12 12 4
direct
0.2500 0.0685 0.3189
0.2500 0.4182 0.4520
0.2500 0.9182 0.0480
0.2500 0.7921 0.2076
0.2500 0.5685 0.1811
0.2500 0.2921 0.2924
0.7500 0.7079 0.7076
0.7500 0.4315 0.8189
0.7500 0.5818 0.5480
0.7500 0.0818 0.9520
0.7500 0.2079 0.7924
0.7500 0.9315 0.6811
0.2500 0.8022 0.5535
0.2500 0.1228 0.6259
0.7500 0.8508 0.8772
0.7500 0.6978 0.0535
0.7500 0.1978 0.4465
0.7500 0.3508 0.6228
0.7500 0.3772 0.1259
0.2500 0.6492 0.3772
0.2500 0.3022 0.9465
0.2500 0.6228 0.8741
0.7500 0.8772 0.3741
0.2500 0.1492 0.1228
0.7500 0.4711 0.3080
0.7500 0.9711 0.1920
0.2500 0.0289 0.8080
0.2500 0.5289 0.6920
```

8.
A plane-wave DFT calculation with PBE was carried out for Dy8SnC4 after structural relaxation.

Output
Final energy in eV per atom: -6.31
Space group: C2/m
ΔH_f (0 K) in eV/atom: -0.335

Geometry as POSCAR:
```
Dy8SnC4
1.0
-1.0694 1.1338 3.2763
-8.6931 -1.8026 -0.2049
0.2182 -7.8303 4.7900
C Dy Sn
4 8 1
direct
0.6643 0.1668 0.5045
0.8489 0.5053 0.7969
0.3671 0.8365 0.4293
0.1826 0.4981 0.1368
0.8849 0.6746 0.5557
0.1466 0.3287 0.3780
0.4741 0.3453 0.7064
0.8129 0.3402 0.0340
0.8518 0.9911 0.3054
0.1796 0.0122 0.6285
0.5573 0.6581 0.2273
0.2185 0.6633 0.8997
0.5156 0.0017 0.9670
```

9.
A plane-wave DFT calculation with PBE was carried out for Sc3Al2 after structural relaxation.

Output
ΔE to the lowest computed polymorph in eV/atom: 0.086
Final energy in eV per atom: -5.56
Space group: Fdd2
ΔH_f (0 K) in eV/atom: -0.268

Geometry as POSCAR:
```
Sc3Al2
1.0
0.0000 5.0744 7.2008
2.8607 0.0000 7.2008
2.8607 5.0744 0.0000
Al Sc
4 6
direct
0.3563 0.5529 0.1926
0.0574 0.3517 0.8937
0.6971 0.8937 0.3517
0.8983 0.1926 0.5529
0.8090 0.8901 0.7820
0.4680 0.7311 0.4410
0.9175 0.0825 0.0825
0.5189 0.7820 0.8901
0.1675 0.3325 0.3325
0.3599 0.4410 0.7311
```

10.
A plane-wave DFT calculation with PBE was carried out for BeTcAs after structural relaxation.

Output
ΔE to the lowest computed polymorph in eV/atom: 0.689
Final energy in eV per atom: -5.84
Space group: Fmm2
ΔH_f (0 K) in eV/atom: 0.404

Geometry as POSCAR:
```
BeTcAs
1.0
6.3277 -0.0041 0.0029
5.4554 2.6640 -0.0090
0.8723 -0.8960 2.5131
Be Tc As
1 1 1
direct
0.6748 0.6748 0.3252
0.3246 0.3246 0.6754
0.0006 0.0006 0.9994
```

11.
A plane-wave DFT calculation with PBE was carried out for Li2ZrPb after structural relaxation.

Output
Final energy in eV per atom: -4.06
Space group: P2/m
ΔH_f (0 K) in eV/atom: -0.037

Geometry as POSCAR:
```
Li2ZrPb
1.0
4.9830 0.0000 0.0000
0.0000 3.1664 0.0097
0.0000 0.4198 5.4205
Pb Li Zr
1 2 1
direct
0.5000 0.2500 0.2500
0.0000 0.1088 0.9917
0.0000 0.3912 0.5083
0.5000 0.7500 0.7500
```

12.
A plane-wave DFT calculation with PBE was carried out for Sm5Ho3As8 after structural relaxation.

Output
Final energy in eV per atom: -6.18
Space group: R-3m
ΔH_f (0 K) in eV/atom: -1.524

Geometry as POSCAR:
```
Sm5Ho3As8
1.0
-2.0603 -0.1760 -8.0834
4.1689 -4.9559 -5.2609
-3.7199 -6.7441 -3.2112
As Ho Sm
8 3 5
direct
0.7523 0.7523 0.7430
0.2500 0.7548 0.7452
0.7548 0.2500 0.7452
0.7500 0.2452 0.2548
0.2452 0.7500 0.2548
0.2500 0.2500 0.7452
0.7500 0.7500 0.2548
0.2477 0.2477 0.2570
0.0000 0.5000 0.5000
0.5000 0.0000 0.5000
0.0000 0.0000 0.5000
0.5000 0.5000 0.0000
0.5000 0.0000 0.0000
0.0000 0.5000 0.0000
0.5000 0.5000 0.5000
0.0000 0.0000 0.0000
```